(1)
Here is crystalline CaGdSc2 at its relaxed geometry from the Alexandria database. Energies are from PBE-GGA.

Computed properties:
- Total DFT energy (no corrections): -0.513 Ry per atom
- Excess energy over the best structure of this formula in the dataset: 62.3 meV per atom
- SG: Fm-3m (225)
- ΔH_f (0 K): 0.2107 eV per atom
- Size of the total moment: 1.91 μB per atom
- DOS at the Fermi energy: 1.8656 states/eV/atom

Cell and atoms, written as extended XYZ:
```
4
Lattice="-2.620 3.911 -2.849 -4.076 -1.363 -3.437 -5.200 1.296 1.248" Properties=species:S:1:pos:R:3 pbc="T T T"
Sc -2.974 0.961 -1.259
Sc -8.922 2.884 -3.778
Ca -5.948 1.922 -2.519
Gd 0.000 0.000 0.000
```



(2)
Here is crystalline CaGdSc2 at its relaxed geometry from the Alexandria database. Energies are from PBE-GGA.

Computed properties:
- Total DFT energy (no corrections): -0.513 Ry per atom
- Excess energy over the best structure of this formula in the dataset: 56.4 meV per atom
- SG: P4/mmm (123)
- ΔH_f (0 K): 0.2048 eV per atom
- Size of the total moment: 1.97 μB per atom
- DOS at the Fermi energy: 1.9572 states/eV/atom

Cell and atoms, written as extended XYZ:
```
4
Lattice="-2.553 -1.631 -2.276 2.293 -4.990 1.005 -3.430 -0.700 4.349" Properties=species:S:1:pos:R:3 pbc="T T T"
Sc -1.715 -0.350 2.175
Sc 1.147 -2.495 0.503
Ca -1.276 -0.816 -1.138
Gd -1.845 -3.661 1.539
```



(3)
Here is crystalline CaGdSc at its relaxed geometry from the Alexandria database. Energies are from PBE-GGA.

Computed properties:
- Total DFT energy (no corrections): -0.541 Ry per atom
- Excess energy over the best structure of this formula in the dataset: 0.0 meV per atom
- SG: I4mm (107)
- ΔH_f (0 K): 0.1102 eV per atom
- Size of the total moment: 2.55 μB per atom
- DOS at the Fermi energy: 1.4096 states/eV/atom

Cell and atoms, written as extended XYZ:
```
3
Lattice="-1.080 1.682 -3.038 0.413 -3.097 -1.861 -6.605 -1.099 3.917" Properties=species:S:1:pos:R:3 pbc="T T T"
Sc -2.777 -1.344 -1.933
Ca -0.108 -0.028 0.023
Gd -4.388 -1.142 0.928
```



(4)
Here is crystalline CaTbGdSc at its relaxed geometry from the Alexandria database. Energies are from PBE-GGA.

Computed properties:
- Total DFT energy (no corrections): -0.485 Ry per atom
- SG: F-43m (216)
- ΔH_f (0 K): 0.1620 eV per atom
- Size of the total moment: 1.82 μB per atom
- DOS at the Fermi energy: 1.7271 states/eV/atom

Cell and atoms, written as extended XYZ:
```
4
Lattice="5.629 0.000 0.000 2.815 4.875 0.000 2.815 1.625 4.596" Properties=species:S:1:pos:R:3 pbc="T T T"
Sc 0.000 0.000 0.000
Ca 5.629 3.250 2.298
Gd 2.815 1.625 1.149
Tb 8.444 4.875 3.447
```



Number 1 is which compound? CaGdSc2



Look up the DOS at the Fermi energy of the first one. 1.8656 states/eV/atom



What is the total DFT energy (no corrections) in the third record? -0.541 Ry per atom



Which formula does entry 3 have? CaGdSc